{
  "formula": "DyErGePt",
  "functional": "PBE-GGA",
  "state": "optimized geometry",
  "polymorph_energy_mev_per_atom": 133.0,
  "total_energy_ev_per_atom": -5.91,
  "ef_mev_per_atom": -951,
  "mass_density_g_cm3": 11.318,
  "cell": [[-2.705, -3.971, -1.334], [1.396, -4.565, 1.440], [-2.669, -2.461, 3.418]],
  "species": ["Er", "Ge", "Pt", "Dy"],
  "fractional_positions": [[0.500, 0.500, 0.500], [0.250, 0.250, 0.250], [0.750, 0.750, 0.750], [0.000, 0.000, 0.000]]
}

***

{
  "formula": "CaPa3N6",
  "functional": "PBE-GGA",
  "state": "optimized geometry",
  "total_energy_ev_per_atom": -9.50,
  "formation_energy_uncorrected_ev_per_fu": -14.6,
  "mass_density_g_cm3": 9.060,
  "cell": [[3.580, 0.000, 0.000], [0.000, 8.914, -2.265], [0.000, -0.015, 9.391]],
  "species": ["N", "Pa", "N", "Pa", "Pa", "Pa", "N", "N", "N", "N", "Ca", "N", "Pa", "N", "N", "N", "Ca", "N", "N", "Pa"],
  "fractional_positions": [[0.250, 0.280, 0.219], [0.750, 0.690, 0.528], [0.750, 0.139, 0.423], [0.750, 0.466, 0.822], [0.750, 0.169, 0.087], [0.250, 0.310, 0.472], [0.750, 0.720, 0.781], [0.250, 0.305, 0.721], [0.250, 0.594, 0.950], [0.750, 0.695, 0.279], [0.750, 0.075, 0.681], [0.250, 0.549, 0.421], [0.250, 0.534, 0.178], [0.250, 0.861, 0.577], [0.750, 0.406, 0.050], [0.750, 0.451, 0.579], [0.250, 0.925, 0.319], [0.750, 0.923, 0.073], [0.250, 0.077, 0.927], [0.250, 0.831, 0.913]]
}

***

{
  "formula": "AlZnRe",
  "functional": "PBE-GGA",
  "state": "optimized geometry",
  "polymorph_energy_mev_per_atom": 63.3,
  "total_energy_ev_per_atom": -5.75,
  "ef_mev_per_atom": 69,
  "mass_density_g_cm3": 10.535,
  "cell": [[-3.103, 3.023, 2.014], [-2.040, -1.112, 4.174], [4.040, 0.808, -2.419]],
  "species": ["Zn", "Re", "Al"],
  "fractional_positions": [[0.669, 0.669, 0.000], [0.337, 0.337, 0.000], [0.994, 0.994, 0.000]]
}

***

{
  "formula": "DyZrBe17",
  "functional": "PBE-GGA",
  "state": "optimized geometry",
  "total_energy_ev_per_atom": -4.22,
  "ef_mev_per_atom": -191,
  "mass_density_g_cm3": 3.635,
  "cell": [[-3.294, -4.692, 0.405], [0.495, -1.684, -5.473], [4.254, -3.780, 0.808]],
  "species": ["Be", "Be", "Be", "Be", "Be", "Dy", "Be", "Be", "Be", "Be", "Zr", "Be", "Be", "Be", "Be", "Be", "Be", "Be", "Be"],
  "fractional_positions": [[0.001, 0.716, 0.282], [0.843, 0.339, 0.339], [0.716, 0.282, 0.001], [0.659, 0.159, 0.659], [0.716, 0.001, 0.282], [0.661, 0.661, 0.661], [0.282, 0.001, 0.716], [0.282, 0.716, 0.001], [0.003, 0.498, 0.003], [0.659, 0.659, 0.159], [0.337, 0.337, 0.337], [0.339, 0.339, 0.843], [0.098, 0.098, 0.098], [0.906, 0.906, 0.906], [0.001, 0.282, 0.716], [0.159, 0.659, 0.659], [0.498, 0.003, 0.003], [0.339, 0.843, 0.339], [0.003, 0.003, 0.498]]
}

***

{
  "formula": "MgAlMo2",
  "functional": "PBE-GGA",
  "state": "optimized geometry",
  "polymorph_energy_mev_per_atom": 24.2,
  "total_energy_ev_per_atom": -6.72,
  "ef_mev_per_atom": 31,
  "mass_density_g_cm3": 6.329,
  "cell": [[4.485, 0.000, 0.000], [2.243, 3.884, 0.000], [2.243, 1.295, 3.662]],
  "species": ["Mo", "Mg", "Al", "Mo"],
  "fractional_positions": [[0.250, 0.250, 0.250], [0.750, 0.750, 0.750], [0.500, 0.500, 0.500], [0.000, 0.000, 0.000]]
}

***

{
  "formula": "CdAs2I",
  "functional": "PBE-GGA",
  "state": "optimized geometry",
  "polymorph_energy_mev_per_atom": 0.0,
  "total_energy_ev_per_atom": -2.45,
  "formation_energy_uncorrected_ev_per_fu": 2.0,
  "mass_density_g_cm3": 4.983,
  "cell": [[-4.755, 3.163, 1.162], [-3.315, -4.029, -2.599], [-4.831, -4.075, 5.943]],
  "species": ["As", "I", "Cd", "I", "Cd", "As", "As", "As"],
  "fractional_positions": [[0.875, 0.838, 0.750], [0.000, 0.000, 0.000], [0.250, 0.750, 0.500], [0.750, 0.250, 0.500], [0.500, 0.500, 0.000], [0.588, 0.125, 0.250], [0.375, 0.412, 0.750], [0.162, 0.625, 0.250]]
}

***

{
  "formula": "La2Sm6YEr3",
  "functional": "PBE-GGA",
  "state": "optimized geometry",
  "total_energy_ev_per_atom": -4.84,
  "ef_mev_per_atom": 22,
  "mass_density_g_cm3": 7.334,
  "cell": [[-1.512, -6.081, 0.099], [4.256, 2.237, 4.019], [-9.464, 3.536, 6.424]],
  "species": ["Er", "Sm", "Er", "Sm", "Sm", "La", "Sm", "Y", "Sm", "Sm", "Er", "La"],
  "fractional_positions": [[0.500, 0.500, 0.500], [0.247, 0.247, 0.744], [0.834, 0.166, 0.500], [0.915, 0.582, 0.744], [0.085, 0.418, 0.256], [0.333, 0.667, 0.000], [0.418, 0.085, 0.256], [0.000, 0.000, 0.000], [0.753, 0.753, 0.256], [0.582, 0.915, 0.744], [0.166, 0.834, 0.500], [0.667, 0.333, 0.000]]
}

***

{
  "formula": "Ac2Zn5Pt3",
  "functional": "PBE-GGA",
  "state": "optimized geometry",
  "total_energy_ev_per_atom": -3.97,
  "ef_mev_per_atom": -701,
  "mass_density_g_cm3": 11.007,
  "cell": [[-3.394, 0.025, 5.057], [2.039, -6.909, 5.070], [4.516, 3.545, 6.681]],
  "species": ["Zn", "Pt", "Zn", "Ac", "Pt", "Pt", "Zn", "Ac", "Pt", "Zn", "Zn", "Ac", "Pt", "Pt", "Zn", "Ac", "Zn", "Zn", "Zn", "Zn"],
  "fractional_positions": [[0.530, 0.720, 0.720], [0.750, 0.000, 0.000], [0.860, 0.032, 0.248], [0.376, 0.893, 0.354], [0.885, 0.770, 0.461], [0.385, 0.461, 0.770], [0.970, 0.280, 0.280], [0.124, 0.646, 0.107], [0.615, 0.539, 0.230], [0.750, 0.500, 0.500], [0.140, 0.968, 0.752], [0.876, 0.354, 0.893], [0.115, 0.230, 0.539], [0.250, 0.000, 0.000], [0.640, 0.752, 0.968], [0.624, 0.107, 0.646], [0.470, 0.280, 0.280], [0.250, 0.500, 0.500], [0.030, 0.720, 0.720], [0.360, 0.248, 0.032]]
}

***

So what do the calculations give for N(E_F)? Going down the list: 1.01, 11.15, 1.52, 3.76, 3.92, 4.87, 16.86, 8.96 states/eV per cell.